Entry from Alexandria: a geometry-optimized LaCr2P structure (PBE).

Lattice parameters (Å, degrees): 5.6301 5.6301 5.6301 145.71 125.99 65.55
With the nearest neighbours (Å) after each atom.
Positions (direct):
Cr 0.9430 0.9430 0.0000  2 P 2.47
Cr 0.5570 0.5570 0.0000  2 P 2.47
La 0.2500 0.7500 0.5000  4 P 3.05, 8 Cr 3.14-3.35, 2 La 3.32
P 0.7500 0.2500 0.5000  4 Cr 2.47

Results
mass density = 5.66 Mg/m³
DFT formation energy = 0.169 eV/atom
total DFT energy (no corrections) = -7.2272 eV per atom